# 1
# GGA-PBE NiS3Cl, optimized geometry
data_NiS3Cl
_chemical_formula_sum 'Ni1 S3 Cl1'
_space_group_name_H-M_alt 'P 1'
_space_group_IT_number 1
_cell_length_a 4.449
_cell_length_b 4.449
_cell_length_c 4.449
_cell_angle_alpha 90.00
_cell_angle_beta 90.00
_cell_angle_gamma 90.00
loop_
_space_group_symop_operation_xyz
'x,y,z'
loop_
_atom_site_label
_atom_site_type_symbol
_atom_site_fract_x
_atom_site_fract_y
_atom_site_fract_z
Ni1 Ni 0.000 0.000 0.000
S1 S 0.000 0.000 0.500
S2 S 0.000 0.500 0.000
S3 S 0.500 0.000 0.000
Cl1 Cl 0.500 0.500 0.500
# Volume = 17.609 Å³ per atom
# D(E_F) = 1.534 states/eV per atom
# E_form (uncorrected) = 0.660 eV/atom
# Offset from the most stable computed form = 0.732 eV/atom
# SG = Pm-3m (221)
# Electronic total energy = -3.34 eV/atom

# 2
# GGA-PBE NiS3Cl, optimized geometry
data_NiS3Cl
_chemical_formula_sum 'Ni2 S6 Cl2'
_space_group_name_H-M_alt 'P 1'
_space_group_IT_number 1
_cell_length_a 6.226
_cell_length_b 3.707
_cell_length_c 10.076
_cell_angle_alpha 90.00
_cell_angle_beta 92.71
_cell_angle_gamma 90.00
loop_
_space_group_symop_operation_xyz
'x,y,z'
loop_
_atom_site_label
_atom_site_type_symbol
_atom_site_fract_x
_atom_site_fract_y
_atom_site_fract_z
Ni1 Ni 0.183 0.000 0.225
Ni2 Ni 0.817 0.500 0.775
S1 S 0.218 0.395 0.398
S2 S 0.326 0.529 0.111
S3 S 0.451 0.672 0.298
S4 S 0.549 0.172 0.702
S5 S 0.674 0.029 0.889
S6 S 0.782 0.895 0.602
Cl1 Cl 0.156 0.552 0.841
Cl2 Cl 0.844 0.052 0.159
# Volume = 23.230 Å³ per atom
# D(E_F) = 0.060 states/eV per atom
# E_form (uncorrected) = -0.071 eV/atom
# Offset from the most stable computed form = 0.000 eV/atom
# SG = P2_1 (4)
# Electronic total energy = -4.07 eV/atom

# 3
# GGA-PBE NiS2Cl, optimized geometry
data_NiS2Cl
_chemical_formula_sum 'Ni1 S2 Cl1'
_space_group_name_H-M_alt 'P 1'
_space_group_IT_number 1
_cell_length_a 3.436
_cell_length_b 3.438
_cell_length_c 7.689
_cell_angle_alpha 90.00
_cell_angle_beta 90.07
_cell_angle_gamma 90.00
loop_
_space_group_symop_operation_xyz
'x,y,z'
loop_
_atom_site_label
_atom_site_type_symbol
_atom_site_fract_x
_atom_site_fract_y
_atom_site_fract_z
Ni1 Ni 0.000 0.000 0.000
S1 S 0.001 0.500 0.166
S2 S 0.002 0.500 0.415
Cl1 Cl 0.500 0.000 0.812
# Volume = 22.704 Å³ per atom
# D(E_F) = 0.647 states/eV per atom
# E_form (uncorrected) = -0.139 eV/atom
# Offset from the most stable computed form = 0.031 eV/atom
# SG = Pm (6)
# Electronic total energy = -4.11 eV/atom

What did the first record say?
# GGA-PBE NiS3Cl, optimized geometry
data_NiS3Cl
_chemical_formula_sum 'Ni1 S3 Cl1'
_space_group_name_H-M_alt 'P 1'
_space_group_IT_number 1
_cell_length_a 4.449
_cell_length_b 4.449
_cell_length_c 4.449
_cell_angle_alpha 90.00
_cell_angle_beta 90.00
_cell_angle_gamma 90.00
loop_
_space_group_symop_operation_xyz
'x,y,z'
loop_
_atom_site_label
_atom_site_type_symbol
_atom_site_fract_x
_atom_site_fract_y
_atom_site_fract_z
Ni1 Ni 0.000 0.000 0.000
S1 S 0.000 0.000 0.500
S2 S 0.000 0.500 0.000
S3 S 0.500 0.000 0.000
Cl1 Cl 0.500 0.500 0.500
# Volume = 17.609 Å³ per atom
# D(E_F) = 1.534 states/eV per atom
# E_form (uncorrected) = 0.660 eV/atom
# Offset from the most stable computed form = 0.732 eV/atom
# SG = Pm-3m (221)
# Electronic total energy = -3.34 eV/atom